# 1
Density functional theory data (PBE-GGA) for a relaxed P3Ir2Au crystal.

Lattice parameters (Å, degrees): 10.321 3.511 5.727 90.00 110.41 90.00
Positions (direct):
P: 0.000 0.000 0.000
P: 0.026 0.000 0.414
P: 0.302 0.500 0.392
P: 0.500 0.500 0.000
P: 0.526 0.500 0.414
P: 0.802 0.000 0.392
Ir: 0.151 0.500 0.620
Ir: 0.400 0.000 0.757
Ir: 0.651 0.000 0.620
Ir: 0.900 0.500 0.757
Au: 0.236 0.000 0.037
Au: 0.736 0.500 0.037

Output
Energy above the most stable polymorph in this dataset ... 111 meV/atom
Energy of formation ... -153 meV per atom

---

# 2
Density functional theory data (PBE-GGA) for a relaxed FeCo2Ag crystal.

Lattice parameters (Å, degrees): 2.992 4.205 8.299 90.00 90.00 90.00
Positions (direct):
Fe: 0.000 0.000 0.000
Fe: 0.500 0.500 0.500
Co: 0.000 0.000 0.537
Co: 0.000 0.500 0.269
Co: 0.500 0.000 0.769
Co: 0.500 0.500 0.037
Ag: 0.000 0.500 0.768
Ag: 0.500 0.000 0.268

Output
Energy above the most stable polymorph in this dataset ... 106 meV/atom
Energy of formation ... 321 meV per atom

---

# 3
Density functional theory data (PBE-GGA) for a relaxed TlOsPt crystal.

Lattice parameters (Å, degrees): 2.909 5.137 14.451 90.00 90.00 90.00
Positions (direct):
Tl: 0.000 0.000 0.000
Tl: 0.000 0.500 0.500
Tl: 0.500 0.000 0.500
Tl: 0.500 0.500 0.000
Os: 0.000 0.000 0.326
Os: 0.000 0.500 0.826
Os: 0.500 0.000 0.826
Os: 0.500 0.500 0.326
Pt: 0.000 0.000 0.674
Pt: 0.000 0.500 0.174
Pt: 0.500 0.000 0.174
Pt: 0.500 0.500 0.674

Output
Energy above the most stable polymorph in this dataset ... 132 meV/atom
Energy of formation ... 778 meV per atom

---

# 4
Density functional theory data (PBE-GGA) for a relaxed Zr2TiZnN crystal.

Lattice parameters (Å, degrees): 4.838 4.838 4.657 90.00 90.00 90.00
Positions (direct):
Zr: 0.000 0.500 0.000
Zr: 0.500 0.000 0.000
Ti: 0.000 0.000 0.000
Zn: 0.000 0.000 0.500
N: 0.500 0.500 0.500

Output
Energy above the most stable polymorph in this dataset ... 2511 meV/atom
Energy relative to the elements, uncorrected ... 8.35 eV/f.u.

---

# 5
Density functional theory data (PBE-GGA) for a relaxed La2Ga7Cu crystal.

Lattice parameters (Å, degrees): 4.388 4.388 10.465 90.00 90.00 90.00
Positions (direct):
La: 0.000 0.500 0.243
La: 0.500 0.000 0.757
Ga: 0.000 0.000 0.000
Ga: 0.000 0.000 0.500
Ga: 0.000 0.500 0.637
Ga: 0.000 0.500 0.876
Ga: 0.500 0.000 0.124
Ga: 0.500 0.000 0.363
Ga: 0.500 0.500 0.500
Cu: 0.500 0.500 0.000

Output
Energy of formation ... -516 meV per atom

---

# 6
Density functional theory data (PBE-GGA) for a relaxed Zr2Fe2Pd crystal.

Lattice parameters (Å, degrees): 6.799 6.799 3.555 90.00 90.00 90.00
Positions (direct):
Zr: 0.182 0.318 0.000
Zr: 0.318 0.818 0.000
Zr: 0.682 0.182 0.000
Zr: 0.818 0.682 0.000
Fe: 0.114 0.614 0.500
Fe: 0.386 0.114 0.500
Fe: 0.614 0.886 0.500
Fe: 0.886 0.386 0.500
Pd: 0.000 0.000 0.500
Pd: 0.500 0.500 0.500

Output
Energy of formation ... -259 meV per atom

---

DOS at the Fermi energy values (in states/eV per atom) by entry order: 0.34 0.86 1.10 1.05 0.36 1.11.